# GGA+U Tl2NiIO, relaxed
data_Tl2NiIO
_space_group_name_H-M_alt 'P 4/m m m'
_space_group_IT_number 123
_space_group_name_Hall '-P 4 2'
_cell_length_a 5.8447
_cell_length_b 5.8447
_cell_length_c 3.7109
_cell_angle_alpha 90.00
_cell_angle_beta 90.00
_cell_angle_gamma 90.00
loop_
_atom_site_label
_atom_site_fract_x
_atom_site_fract_y
_atom_site_fract_z
Tl1 0.0000 0.5000 0.0000
Ni1 0.0000 0.0000 0.0000
I1 0.5000 0.5000 0.5000
O1 0.0000 0.0000 0.5000
# Volume (Å³ per cell): 126.8
# Theoretical density (Mg/m³): 8.00
# DFT total energy (Ry per atom): -0.22096